No. 1
VASP calculation (GGA-PBE) on a relaxed Zn2ReSnF crystal.

## Properties
Energy relative to the elements, uncorrected, eV per atom: 0.426

Cell: 4.3114 4.4601 4.3114 Å, 90.00 90.00 90.00°
Sites, in units of the cell vectors:
Zn 0.0000 0.0000 0.5000
Zn 0.5000 0.0000 0.0000
Re 0.0000 0.5000 0.0000
Sn 0.5000 0.5000 0.5000
F 0.0000 0.0000 0.0000

No. 2
VASP calculation (GGA-PBE) on a relaxed SrReF2 crystal.

## Properties
Energy relative to the elements, uncorrected, eV per atom: -0.610
ΔE to the lowest computed polymorph, eV/atom: 0.4945

Cell: 5.5692 5.5692 6.3515 Å, 64.00 64.00 90.00°
Each line ends with the local moment (μB).
Sites, in units of the cell vectors:
F 0.8750 0.8722 0.7500  0.01
F 0.3750 0.3778 0.7500  0.00
Sr 0.2500 0.7500 0.5000  -0.01
F 0.1278 0.6250 0.2500  0.00
Re 0.0000 0.0000 0.0000  0.93
Re 0.7500 0.2500 0.5000  0.94
F 0.6222 0.1250 0.2500  0.00
Sr 0.5000 0.5000 0.0000  -0.01

No. 3
VASP calculation (GGA-PBE) on a relaxed SrRe3F crystal.

## Properties
Energy relative to the elements, uncorrected, eV per atom: 3.741
ΔE to the lowest computed polymorph, eV/atom: 2.1419

Cell: 6.1093 6.1093 6.1093 Å, 90.00 90.00 90.00°
Each line ends with the local moment (μB).
Sites, in units of the cell vectors:
Re 0.5000 0.0000 0.0000  3.90
Re 0.0000 0.5000 0.0000  3.70
F 0.5000 0.5000 0.5000  0.18
Re 0.0000 0.0000 0.5000  3.58
Sr 0.0000 0.0000 0.0000  -0.02